[1]
Entry from Alexandria: a relaxed structure of NiHgS2O8 (GGA+U).

Summary:
* symmetry: No. 148
* crystal system: trigonal
* ρ: 5.4 g/cm³
* calculated total energy: -5.312 eV per atom

Cell: 7.679 7.679 7.679 Å, 35.96 35.96 35.96°
Positions (direct):
Ni  0.000  0.000  0.000
Hg  0.500  0.500  0.500
S  0.253  0.253  0.253
S  0.747  0.747  0.747
O  0.020  0.422  0.735
O  0.183  0.183  0.183
O  0.265  0.980  0.578
O  0.422  0.735  0.020
O  0.578  0.265  0.980
O  0.735  0.020  0.422
O  0.817  0.817  0.817
O  0.980  0.578  0.265



[2]
Entry from Alexandria: a relaxed structure of Ni2Hg2SbO6 (GGA+U).

Summary:
* symmetry: No. 12
* crystal system: monoclinic
* ρ: 8.2 g/cm³
* calculated total energy: -4.442 eV per atom

Cell: 5.330 5.330 6.369 Å, 99.92 99.92 118.38°
Positions (direct):
Ni  0.166  0.834  0.000
Ni  0.834  0.166  0.000
Hg  0.187  0.813  0.500
Hg  0.813  0.187  0.500
Sb  0.500  0.500  0.000
O  0.112  0.112  0.810
O  0.239  0.564  0.172
O  0.436  0.761  0.828
O  0.564  0.239  0.172
O  0.761  0.436  0.828
O  0.888  0.888  0.190



[3]
Entry from Alexandria: a relaxed structure of NiHgSeO6 (GGA+U).

Summary:
* symmetry: No. 149
* crystal system: trigonal
* ρ: 6.9 g/cm³
* calculated total energy: -4.458 eV per atom

Cell: 4.907 4.907 5.042 Å, 90.00 90.00 120.00°
Positions (direct):
Ni  0.000  0.000  0.000
Hg  0.667  0.333  0.500
Se  0.333  0.667  0.000
O  0.048  0.341  0.205
O  0.048  0.707  0.795
O  0.293  0.341  0.795
O  0.293  0.952  0.205
O  0.659  0.707  0.205
O  0.659  0.952  0.795